A relaxed PuGa6Au12 crystal. Source: the Alexandria database, functional PBE-GGA.

Cell lengths 12.0602, 12.0602, 8.8775 Å; angles 90.00, 90.00, 120.00 degrees
Space group R-3m (No. 166, hexagonal axes)
Inequivalent atoms, fractional coordinates:
Pu: 0.0000 0.0000 0.0000
Ga: 0.0557 0.5278 0.2486
Au: 0.0000 0.3815 0.5000
Au: 0.0814 0.1629 0.2966

Calculated values
DOS(E_F) = 77.66 states/eV/cell
formation enthalpy at 0 K = -145 meV/atom
crystal system = trigonal

A relaxed Os3Pb crystal. Source: the Alexandria database, functional PBE-GGA.

Cell lengths 5.814, 7.798, 2.888 Å; angles 90.00, 90.00, 90.00 degrees
Space group Cmmm (No. 65)
Inequivalent atoms, fractional coordinates:
Os: 0.000 0.000 0.000
Os: 0.250 0.250 0.500
Pb: 0.000 0.500 0.000

Calculated values
DOS(E_F) = 9.31 states/eV/cell
formation enthalpy at 0 K = 1029 meV/atom
crystal system = orthorhombic